(1)
The following is a GGA-PBE calculation of crystalline TePdPtO at its relaxed geometry, from OQMD.

abc: 5.529 7.495 6.987
angles: 90.00 90.00 90.00
Atoms (fractional coordinates):
1 O 0.463 0.147 0.180
2 O 0.537 0.647 0.320
3 O 0.037 0.853 0.680
4 O 0.963 0.353 0.820
5 Pd 0.291 0.695 0.079
6 Pd 0.709 0.195 0.421
7 Pd 0.209 0.305 0.579
8 Pd 0.791 0.805 0.921
9 Pt 0.225 0.278 0.006
10 Pt 0.775 0.778 0.494
11 Pt 0.275 0.722 0.506
12 Pt 0.725 0.222 0.994
13 Te 0.011 0.959 0.220
14 Te 0.989 0.459 0.280
15 Te 0.489 0.041 0.720
16 Te 0.511 0.541 0.780

Computed properties:
calculated volume	290	Å³/cell
ρ	10.21	g/cm³
total magnetization	0.00	μB/atom
excess energy over the best structure of this formula in the dataset	0.51	eV/f.u.
crystal system	orthorhombic



(2)
The following is a GGA-PBE calculation of crystalline ZnPd2PtO6 at its relaxed geometry, from OQMD.

abc: 6.136 6.136 3.156
angles: 90.00 90.00 108.67
Atoms (fractional coordinates):
1 O 0.335 0.083 0.000
2 O 0.083 0.335 0.000
3 O 0.917 0.665 0.000
4 O 0.665 0.917 0.000
5 O 0.649 0.351 0.500
6 O 0.351 0.649 0.500
7 Pd 0.500 0.000 0.500
8 Pd 0.000 0.500 0.500
9 Pt 0.000 0.000 0.000
10 Zn 0.500 0.500 0.000

Computed properties:
calculated volume	113	Å³/cell
ρ	8.40	g/cm³
E_tot	-5.36	eV/atom
total magnetization	0.00	μB/atom
crystal system	orthorhombic



(3)
The following is a GGA-PBE calculation of crystalline Rb6Pd2O5 at its relaxed geometry, from OQMD.

abc: 7.009 7.009 6.972
angles: 90.27 90.27 119.14
Atoms (fractional coordinates):
1 O 0.463 0.185 0.399
2 O 0.185 0.463 0.399
3 O 0.644 0.644 0.699
4 O 0.799 0.103 0.956
5 O 0.103 0.799 0.956
6 Pd 0.441 0.441 0.501
7 Pd 0.860 0.860 0.889
8 Rb 0.850 0.435 0.187
9 Rb 0.435 0.850 0.187
10 Rb 0.989 0.989 0.401
11 Rb 0.895 0.424 0.689
12 Rb 0.424 0.895 0.689
13 Rb 0.308 0.308 0.996

Computed properties:
calculated volume	299	Å³/cell
ρ	4.47	g/cm³
E_tot	-4.02	eV/atom
crystal system	monoclinic



(4)
The following is a GGA-PBE calculation of crystalline Rb2PdO2 at its relaxed geometry, from OQMD.

abc: 7.411 7.411 7.411
angles: 148.06 148.06 45.80
Atoms (fractional coordinates):
1 O 0.138 0.138 0.000
2 O 0.862 0.862 0.000
3 Pd 0.000 0.000 0.000
4 Rb 0.346 0.346 0.000
5 Rb 0.654 0.654 0.000

Computed properties:
calculated volume	114	Å³/cell
ρ	4.52	g/cm³
E_tot	-4.19	eV/atom
crystal system	tetragonal



(5)
The following is a GGA-PBE calculation of crystalline Rb2Pd2O5 at its relaxed geometry, from OQMD.

abc: 9.030 3.918 3.918
angles: 90.00 90.00 90.00
Atoms (fractional coordinates):
1 O 0.228 0.500 0.000
2 O 0.772 0.500 0.000
3 O 0.228 0.000 0.500
4 O 0.772 0.000 0.500
5 O 0.500 0.500 0.500
6 Pd 0.275 0.500 0.500
7 Pd 0.725 0.500 0.500
8 Rb 0.000 0.000 0.000
9 Rb 0.500 0.000 0.000

Computed properties:
calculated volume	139	Å³/cell
ρ	5.56	g/cm³
excess energy over the best structure of this formula in the dataset	0.00	eV/f.u.
crystal system	tetragonal



(6)
The following is a GGA-PBE calculation of crystalline Rb2PdO2 at its relaxed geometry, from OQMD.

abc: 5.632 7.127 10.352
angles: 90.00 90.00 90.00
Atoms (fractional coordinates):
1 O 0.500 0.909 0.071
2 O 0.809 0.212 0.124
3 O 0.191 0.712 0.376
4 O 0.500 0.409 0.429
5 O 0.000 0.091 0.571
6 O 0.691 0.788 0.624
7 O 0.309 0.288 0.876
8 O 0.000 0.591 0.929
9 Pd 0.534 0.173 0.002
10 Pd 0.466 0.673 0.498
11 Pd 0.966 0.827 0.502
12 Pd 0.034 0.327 0.998
13 Rb 0.006 0.846 0.137
14 Rb 0.507 0.556 0.182
15 Rb 0.493 0.056 0.318
16 Rb 0.994 0.346 0.363
17 Rb 0.494 0.154 0.637
18 Rb 0.993 0.444 0.682
19 Rb 0.007 0.944 0.818
20 Rb 0.506 0.654 0.863

Computed properties:
calculated volume	416	Å³/cell
ρ	4.94	g/cm³
E_tot	-4.20	eV/atom
crystal system	orthorhombic



(7)
The following is a GGA-PBE calculation of crystalline Rb2Pd3O4 at its relaxed geometry, from OQMD.

abc: 6.522 6.522 5.582
angles: 103.62 103.62 126.64
Atoms (fractional coordinates):
1 O 0.781 0.562 0.343
2 O 0.562 0.781 0.343
3 O 0.438 0.219 0.657
4 O 0.219 0.438 0.657
5 Pd 0.500 0.500 0.000
6 Pd 0.000 0.000 0.500
7 Pd 0.500 0.500 0.500
8 Rb 0.821 0.179 0.000
9 Rb 0.179 0.821 0.000

Computed properties:
calculated volume	162	Å³/cell
ρ	5.67	g/cm³
excess energy over the best structure of this formula in the dataset	0.00	eV/f.u.
crystal system	orthorhombic



(8)
The following is a GGA-PBE calculation of crystalline Rb2Pd2O5 at its relaxed geometry, from OQMD.

abc: 10.580 4.028 4.028
angles: 90.00 90.00 90.00
Atoms (fractional coordinates):
1 O 0.068 0.500 0.000
2 O 0.932 0.500 0.000
3 O 0.068 0.000 0.500
4 O 0.932 0.000 0.500
5 O 0.500 0.500 0.500
6 Pd 0.000 0.000 0.000
7 Pd 0.500 0.000 0.000
8 Rb 0.254 0.500 0.500
9 Rb 0.746 0.500 0.500

Computed properties:
calculated volume	172	Å³/cell
ρ	4.49	g/cm³
excess energy over the best structure of this formula in the dataset	4.79	eV/f.u.
crystal system	tetragonal



(9)
The following is a GGA-PBE calculation of crystalline Rb2Pd3O4 at its relaxed geometry, from OQMD.

abc: 8.061 8.061 8.061
angles: 157.20 139.30 47.16
Atoms (fractional coordinates):
1 O 0.337 0.100 0.237
2 O 0.138 0.900 0.237
3 O 0.862 0.100 0.763
4 O 0.663 0.900 0.763
5 Pd 0.500 0.000 0.500
6 Pd 0.908 0.408 0.500
7 Pd 0.092 0.592 0.500
8 Rb 0.291 0.291 0.000
9 Rb 0.709 0.709 0.000

Computed properties:
calculated volume	132	Å³/cell
ρ	6.97	g/cm³
excess energy over the best structure of this formula in the dataset	0.50	eV/f.u.
crystal system	orthorhombic



(10)
The following is a GGA-PBE calculation of crystalline Rb4PdO4 at its relaxed geometry, from OQMD.

abc: 6.438 6.949 9.620
angles: 89.05 71.95 68.27
Atoms (fractional coordinates):
1 O 0.705 0.932 0.130
2 O 0.476 0.521 0.202
3 O 0.802 0.512 0.329
4 O 0.307 0.974 0.350
5 O 0.693 0.026 0.650
6 O 0.198 0.488 0.671
7 O 0.524 0.479 0.798
8 O 0.295 0.068 0.870
9 Pd 0.602 0.730 0.244
10 Pd 0.398 0.270 0.756
11 Rb 0.199 0.756 0.039
12 Rb 0.249 0.249 0.146
13 Rb 0.587 0.215 0.383
14 Rb 0.047 0.723 0.436
15 Rb 0.953 0.277 0.564
16 Rb 0.413 0.785 0.617
17 Rb 0.751 0.751 0.854
18 Rb 0.801 0.244 0.961

Computed properties:
calculated volume	378	Å³/cell
ρ	4.50	g/cm³
E_tot	-4.09	eV/atom
crystal system	triclinic



(11)
The following is a GGA-PBE calculation of crystalline Rb2Pd3O4 at its relaxed geometry, from OQMD.

abc: 11.951 11.951 5.724
angles: 96.53 96.53 152.99
Atoms (fractional coordinates):
1 O 0.395 0.286 0.171
2 O 0.276 0.385 0.171
3 O 0.474 0.865 0.329
4 O 0.355 0.964 0.329
5 O 0.036 0.645 0.671
6 O 0.135 0.526 0.671
7 O 0.615 0.724 0.829
8 O 0.714 0.605 0.829
9 Pd 0.499 0.501 0.000
10 Pd 0.250 0.750 0.000
11 Pd 0.001 0.999 0.000
12 Pd 0.749 0.251 0.500
13 Pd 0.500 0.500 0.500
14 Pd 0.251 0.749 0.500
15 Rb 0.838 0.162 0.000
16 Rb 0.662 0.339 0.000
17 Rb 0.911 0.089 0.500
18 Rb 0.089 0.911 0.500

Computed properties:
calculated volume	324	Å³/cell
ρ	5.68	g/cm³
excess energy over the best structure of this formula in the dataset	0.02	eV/f.u.
crystal system	orthorhombic



(12)
The following is a GGA-PBE calculation of crystalline Rb2PdS8O26 at its relaxed geometry, from OQMD.

abc: 7.355 8.353 9.122
angles: 72.57 88.34 71.80
Atoms (fractional coordinates):
1 O 0.921 0.872 0.122
2 O 0.378 0.751 0.124
3 O 0.784 0.628 0.150
4 O 0.181 0.410 0.164
5 O 0.592 0.918 0.180
6 O 0.247 0.032 0.189
7 O 0.525 0.293 0.253
8 O 0.286 0.494 0.369
9 O 0.854 0.694 0.376
10 O 0.413 0.766 0.390
11 O 0.861 0.988 0.390
12 O 0.950 0.299 0.419
13 O 0.305 0.176 0.424
14 O 0.695 0.824 0.576
15 O 0.050 0.701 0.581
16 O 0.139 0.012 0.610
17 O 0.587 0.234 0.610
18 O 0.146 0.306 0.624
19 O 0.714 0.506 0.631
20 O 0.475 0.707 0.747
21 O 0.753 0.968 0.811
22 O 0.408 0.082 0.820
23 O 0.819 0.590 0.836
24 O 0.216 0.372 0.850
25 O 0.622 0.249 0.876
26 O 0.079 0.128 0.878
27 Pd 0.500 0.500 0.500
28 Rb 0.865 0.274 0.112
29 Rb 0.135 0.726 0.888
30 S 0.794 0.776 0.190
31 S 0.380 0.858 0.221
32 S 0.329 0.361 0.283
33 S 0.882 0.813 0.484
34 S 0.118 0.187 0.516
35 S 0.671 0.639 0.717
36 S 0.620 0.142 0.779
37 S 0.206 0.224 0.810

Computed properties:
calculated volume	507	Å³/cell
ρ	3.11	g/cm³
E_tot	-5.79	eV/atom
crystal system	triclinic



(13)
The following is a GGA-PBE calculation of crystalline Rb4Si2PdO7 at its relaxed geometry, from OQMD.

abc: 6.212 7.140 7.166
angles: 114.22 107.62 99.21
Atoms (fractional coordinates):
1 O 0.000 0.000 0.000
2 O 0.803 0.769 0.152
3 O 0.474 0.224 0.227
4 O 0.172 0.432 0.256
5 O 0.828 0.568 0.744
6 O 0.526 0.776 0.773
7 O 0.197 0.231 0.848
8 Pd 0.500 0.500 0.500
9 Rb 0.327 0.721 0.090
10 Rb 0.940 0.226 0.457
11 Rb 0.060 0.774 0.543
12 Rb 0.673 0.279 0.910
13 Si 0.212 0.221 0.070
14 Si 0.788 0.779 0.930

Computed properties:
calculated volume	261	Å³/cell
ρ	3.92	g/cm³
excess energy over the best structure of this formula in the dataset	0.00	eV/f.u.
crystal system	triclinic



(14)
The following is a GGA-PBE calculation of crystalline Rb4Si2PdO7 at its relaxed geometry, from OQMD.

abc: 6.231 7.051 7.079
angles: 113.79 99.58 107.05
Atoms (fractional coordinates):
1 O 0.000 0.000 0.000
2 O 0.470 0.228 0.218
3 O 0.204 0.848 0.235
4 O 0.173 0.258 0.433
5 O 0.827 0.742 0.567
6 O 0.796 0.152 0.765
7 O 0.530 0.772 0.782
8 Pd 0.500 0.500 0.500
9 Rb 0.935 0.457 0.222
10 Rb 0.676 0.912 0.277
11 Rb 0.324 0.088 0.723
12 Rb 0.065 0.543 0.778
13 Si 0.213 0.071 0.221
14 Si 0.787 0.929 0.779

Computed properties:
calculated volume	257	Å³/cell
ρ	3.98	g/cm³
excess energy over the best structure of this formula in the dataset	0.06	eV/f.u.
crystal system	triclinic



(15)
The following is a GGA-PBE calculation of crystalline Re2Pd2O5 at its relaxed geometry, from OQMD.

abc: 7.830 3.760 3.760
angles: 90.00 90.00 90.00
Last column: magnetic moment on the atom in μB.
Atoms (fractional coordinates):
1 O 0.145 0.500 0.000  0.04
2 O 0.855 0.500 0.000  0.04
3 O 0.145 0.000 0.500  0.02
4 O 0.855 0.000 0.500  0.02
5 O 0.500 0.500 0.500  0.04
6 Pd 0.228 0.500 0.500  0.04
7 Pd 0.772 0.500 0.500  0.04
8 Re 0.000 0.000 0.000  0.16
9 Re 0.500 0.000 0.000  3.89

Computed properties:
calculated volume	111	Å³/cell
ρ	9.98	g/cm³
total magnetization	0.53	μB/atom
excess energy over the best structure of this formula in the dataset	7.59	eV/f.u.
crystal system	tetragonal



(16)
The following is a GGA-PBE calculation of crystalline Re2Pd2O5 at its relaxed geometry, from OQMD.

abc: 7.410 3.830 3.830
angles: 90.00 90.00 90.00
Atoms (fractional coordinates):
1 O 0.232 0.500 0.000
2 O 0.768 0.500 0.000
3 O 0.232 0.000 0.500
4 O 0.768 0.000 0.500
5 O 0.500 0.500 0.500
6 Pd 0.000 0.000 0.000
7 Pd 0.500 0.000 0.000
8 Re 0.227 0.500 0.500
9 Re 0.773 0.500 0.500

Computed properties:
calculated volume	109	Å³/cell
ρ	10.16	g/cm³
total magnetization	0.00	μB/atom
excess energy over the best structure of this formula in the dataset	0.00	eV/f.u.
crystal system	tetragonal



(17)
The following is a GGA-PBE calculation of crystalline PdS2O8 at its relaxed geometry, from OQMD.

abc: 5.749 5.749 4.567
angles: 99.39 99.39 66.26
Atoms (fractional coordinates):
1 O 0.656 0.656 0.231
2 O 0.701 0.072 0.239
3 O 0.072 0.701 0.239
4 O 0.177 0.177 0.321
5 O 0.823 0.823 0.679
6 O 0.928 0.299 0.761
7 O 0.299 0.928 0.761
8 O 0.344 0.344 0.769
9 Pd 0.000 0.000 0.000
10 S 0.805 0.805 0.342
11 S 0.195 0.195 0.658

Computed properties:
calculated volume	136	Å³/cell
ρ	3.66	g/cm³
E_tot	-5.71	eV/atom
crystal system	monoclinic



(18)
The following is a GGA-PBE calculation of crystalline SnPdSO at its relaxed geometry, from OQMD.

abc: 4.254 4.254 9.584
angles: 90.00 90.00 90.00
Atoms (fractional coordinates):
1 O 0.750 0.750 0.090
2 O 0.250 0.250 0.910
3 Pd 0.250 0.250 0.397
4 Pd 0.750 0.750 0.603
5 S 0.750 0.250 0.500
6 S 0.250 0.750 0.500
7 Sn 0.250 0.250 0.117
8 Sn 0.750 0.750 0.883

Computed properties:
calculated volume	173	Å³/cell
ρ	5.23	g/cm³
excess energy over the best structure of this formula in the dataset	1.31	eV/f.u.
crystal system	tetragonal



(19)
The following is a GGA-PBE calculation of crystalline SnPdSO at its relaxed geometry, from OQMD.

abc: 3.715 3.715 9.530
angles: 90.00 90.00 90.00
Atoms (fractional coordinates):
1 O 0.750 0.250 0.500
2 O 0.250 0.750 0.500
3 Pd 0.750 0.750 0.147
4 Pd 0.250 0.250 0.853
5 S 0.250 0.250 0.112
6 S 0.750 0.750 0.888
7 Sn 0.250 0.250 0.376
8 Sn 0.750 0.750 0.624

Computed properties:
calculated volume	132	Å³/cell
ρ	6.90	g/cm³
excess energy over the best structure of this formula in the dataset	0.80	eV/f.u.
crystal system	tetragonal